Record 1
Density functional theory data (GGA+U) for an optimized crystal structure of Ba2GaNiO4.

Properties
Total DFT energy (no corrections) ... -86.29 eV/cell
Space group ... Fddd (70)
Density ... 5.74 Mg/m³

Unit cell a=11.1001 b=9.7633 c=6.3207 alpha=84.39 beta=61.09 gamma=34.52
Sites, in units of the cell vectors:
Ba  0.0510  0.0510  0.6990
Ba  0.3010  0.3010  0.9490
Ba  0.6990  0.6990  0.0510
Ba  0.9490  0.9490  0.3010
Ga  0.3750  0.3750  0.3750
Ga  0.6250  0.6250  0.6250
Ni  0.1250  0.1250  0.1250
Ni  0.8750  0.8750  0.8750
O  0.0082  0.3332  0.4633
O  0.3047  0.5367  0.6668
O  0.3332  0.0082  0.6953
O  0.4633  0.6953  0.0082
O  0.5367  0.3047  0.9918
O  0.6668  0.9918  0.3047
O  0.6953  0.4633  0.3332
O  0.9918  0.6668  0.5367

Record 2
Density functional theory data (GGA+U) for an optimized crystal structure of Ba2Ga2NiO6.

Properties
Total DFT energy (no corrections) ... -62.67 eV/cell
Space group ... R-3m (166)
Density ... 5.52 Mg/m³

Unit cell a=6.6181 b=6.6181 c=6.6181 alpha=52.95 beta=52.95 gamma=52.95
Sites, in units of the cell vectors:
Ba  0.2122  0.2122  0.2122
Ba  0.7878  0.7878  0.7878
Ga  0.4117  0.4117  0.4117
Ga  0.5883  0.5883  0.5883
Ni  0.0000  0.0000  0.0000
O  0.2352  0.7596  0.7596
O  0.2404  0.2404  0.7648
O  0.2404  0.7648  0.2404
O  0.7596  0.2352  0.7596
O  0.7596  0.7596  0.2352
O  0.7648  0.2404  0.2404